Record 1
A plane-wave DFT calculation with PBE was carried out for a geometry-optimized HoSc2PdO structure.

abc: 4.335 4.335 4.765
angles: 90.00 90.00 90.00
Positions (direct):
1 Sc 0.000 0.500 0.000
2 Sc 0.500 0.000 0.000
3 Ho 0.000 0.000 0.500
4 O 0.000 0.000 0.000
5 Pd 0.500 0.500 0.500

Output
- energy relative to the elements, uncorrected (eV/atom) = -1.500
- electronic total energy (eV/atom) = -6.98
- magnetization (μB/f.u.) = 0.001
- volume (Å³ per atom) = 17.909



Record 2
A plane-wave DFT calculation with PBE was carried out for a geometry-optimized LaSmMgPb structure.

abc: 5.534 5.534 5.534
angles: 60.00 60.00 60.00
Positions (direct):
1 La 0.250 0.250 0.250
2 Sm 0.750 0.750 0.750
3 Pb 0.500 0.500 0.500
4 Mg 0.000 0.000 0.000

Output
- electronic total energy (eV/atom) = -4.08
- energy of formation from the pure elements (meV/atom) = -343
- magnetization (μB/f.u.) = 0.001
- volume (Å³ per atom) = 29.956



Record 3
A plane-wave DFT calculation with PBE was carried out for a geometry-optimized Mn3BeRu4 structure.

abc: 2.939 2.939 11.786
angles: 90.00 90.00 90.00
Positions (direct):
1 Ru 0.000 0.000 0.630
2 Ru 0.000 0.000 0.113
3 Ru 0.000 0.000 0.887
4 Ru 0.000 0.000 0.370
5 Be 0.500 0.500 0.000
6 Mn 0.500 0.500 0.763
7 Mn 0.500 0.500 0.500
8 Mn 0.500 0.500 0.237

Output
- electronic total energy (eV/atom) = -8.60
- energy of formation from the pure elements (meV/atom) = -59
- magnetization (μB/f.u.) = 8.030
- volume (Å³ per atom) = 12.723